Below is an optimized crystal structure of NpCrTeO6, with properties calculated at the PBE with a Hubbard U level. Values from VASP.

```
&SYSTEM
  ibrav = 0, nat = 18, ntyp = 4
/
ATOMIC_SPECIES
Np 237.00 Np.upf
Cr 52.00 Cr.upf
Te 127.60 Te.upf
O 16.00 O.upf
CELL_PARAMETERS angstrom
5.5464 0.0000 0.0000
-2.7732 4.8033 0.0000
0.0000 0.0000 8.8509
ATOMIC_POSITIONS crystal
Np 0.3333 0.6667 0.2500
Np 0.6667 0.3333 0.7500
Cr 0.0000 0.0000 0.0000
Cr 0.0000 0.0000 0.5000
Te 0.3333 0.6667 0.7500
Te 0.6667 0.3333 0.2500
O 0.0092 0.3307 0.1252
O 0.0092 0.6785 0.3748
O 0.3215 0.3307 0.3748
O 0.3215 0.9908 0.1252
O 0.3307 0.0092 0.6252
O 0.3307 0.3215 0.8748
O 0.6693 0.6785 0.1252
O 0.6693 0.9908 0.3748
O 0.6785 0.0092 0.8748
O 0.6785 0.6693 0.6252
O 0.9908 0.3215 0.6252
O 0.9908 0.6693 0.8748
```

Calculated values
**Density**: 7.22 g/cm3
**Volume**: 236 Å³ per cell
**Total DFT energy (no corrections)**: -138.9 eV per cell
**Space group**: No. 163